1.
A plane-wave DFT calculation with PBE was carried out for a geometry-optimized CaEuMgPd structure.

Lattice parameters (Å, degrees): 5.307 5.307 5.307 60.00 60.00 60.00
Site moments in Bohr magnetons follow the coordinates.
Positions (direct):
Eu 0.500 0.500 0.500  6.85
Ca 0.000 0.000 0.000  0.02
Mg 0.750 0.750 0.750  0.01
Pd 0.250 0.250 0.250  -0.02

Properties
Total DFT energy (no corrections) (eV/atom): -5.0661
D(E_F) (states/eV/cell): 8.5
Calculated density (kg/m3): 5071
E_form (eV/atom): -0.30
Spin magnetization (μB/cell): 7.24

---

2.
A plane-wave DFT calculation with PBE was carried out for a geometry-optimized CdCo2Ni structure.

Lattice parameters (Å, degrees): 4.668 4.668 2.651 90.00 90.00 113.18
Site moments in Bohr magnetons follow the coordinates.
Positions (direct):
Cd 0.000 0.500 0.500  -0.04
Co 0.000 0.000 0.000  1.64
Co 0.500 0.500 0.000  1.64
Ni 0.500 0.000 0.500  0.61

Properties
Total DFT energy (no corrections) (eV/atom): -4.8773
D(E_F) (states/eV/cell): 6.1
Polymorph energy (0 for the lowest one) (meV per atom): 193.4
Calculated density (kg/m3): 9035
E_form (eV/atom): 0.35
Spin magnetization (μB/cell): 3.72

---

3.
A plane-wave DFT calculation with PBE was carried out for a geometry-optimized MnSeCl structure.

Lattice parameters (Å, degrees): 3.556 3.556 6.740 90.00 90.00 120.00
Site moments in Bohr magnetons follow the coordinates.
Positions (direct):
Cl 0.000 0.000 0.114  0.07
Mn 0.667 0.333 0.334  3.87
Se 0.333 0.667 0.552  -0.15

Properties
Total DFT energy (no corrections) (eV/atom): -5.4913
D(E_F) (states/eV/cell): 2.2
E_form (uncorrected) (eV per atom): -0.66
Calculated density (kg/m3): 3810
Spin magnetization (μB/cell): 4.00

---

4.
A plane-wave DFT calculation with PBE was carried out for a geometry-optimized Pm3YIn4 structure.

Lattice parameters (Å, degrees): 3.819 3.819 15.394 90.00 90.00 90.00
Positions (direct):
Y 0.500 0.500 0.000
In 0.000 0.000 0.881
In 0.000 0.000 0.119
In 0.000 0.000 0.373
In 0.000 0.000 0.627
Pm 0.500 0.500 0.246
Pm 0.500 0.500 0.500
Pm 0.500 0.500 0.754

Properties
Total DFT energy (no corrections) (eV/atom): -4.4583
D(E_F) (states/eV/cell): 4.6
Calculated density (kg/m3): 7272
E_form (eV/atom): -0.50
Spin magnetization (μB/cell): 0.00